Be4CoAu | PBE | relaxed

Cell and atoms, written as POSCAR:
```
Be4CoAu
1.0
-2.829 -2.540 -2.101
-2.923 -2.308 2.235
-4.202 1.090 -0.150
Be Au Co
4 1 1
Direct
0.624 0.624 0.129
0.129 0.624 0.624
0.624 0.624 0.624
0.624 0.129 0.624
0.000 0.000 0.000
0.250 0.250 0.250
```

Properties
As for the total energy: -0.161 Ha/atom. Its space group is F-43m. Its formation energy from the elements is -0.156 eV per atom. The density of states at the Fermi level comes out at 3.15 states/eV/f.u.

Be2CoAu2 | PBE | relaxed

Cell and atoms, written as POSCAR:
```
Be2CoAu2
1.0
3.269 0.000 0.000
0.000 3.269 0.000
1.635 1.635 6.333
Au Co Be
2 1 2
Direct
0.384 0.384 0.231
0.616 0.616 0.769
0.000 0.000 0.000
0.250 0.750 0.500
0.750 0.250 0.500
```

Properties
As for the total energy: -0.151 Ha/atom. Its space group is I4/mmm. Its formation energy from the elements is 0.125 eV per atom. The calculation puts the offset from the most stable computed form at 0.127 eV per atom. The density of states at the Fermi level comes out at 3.89 states/eV/f.u.

BeCo2Au | PBE | relaxed

Cell and atoms, written as POSCAR:
```
BeCo2Au
1.0
8.254 0.031 0.018
7.821 2.637 0.018
7.821 1.298 2.295
Co Be Au
2 1 1
Direct
0.487 0.487 0.487
0.013 0.013 0.013
0.750 0.750 0.750
0.250 0.250 0.250
```

Properties
As for the total energy: -0.187 Ha/atom. Its space group is R-3m. Its formation energy from the elements is 0.229 eV per atom. The density of states at the Fermi level comes out at 3.69 states/eV/f.u.

Be4CoAu3 | PBE | relaxed

Cell and atoms, written as POSCAR:
```
Be4CoAu3
1.0
-2.797 -0.577 -0.188
0.419 -2.480 1.366
-1.791 5.345 10.253
Be Au Co
4 3 1
Direct
0.000 0.000 0.631
0.000 0.000 0.369
0.000 0.000 0.095
0.000 0.000 0.905
0.500 0.500 0.765
0.500 0.500 0.500
0.500 0.500 0.235
0.500 0.500 0.000
```

Properties
As for the total energy: -0.152 Ha/atom. Its space group is P4/mmm. Its formation energy from the elements is -0.147 eV per atom. The density of states at the Fermi level comes out at 2.71 states/eV/f.u.

BeCo2Au | PBE | relaxed

Cell and atoms, written as POSCAR:
```
BeCo2Au
1.0
4.207 -0.001 -0.005
-2.028 4.682 0.008
0.151 0.745 2.540
Co Be Au
2 1 1
Direct
0.500 0.000 0.500
0.000 0.000 0.000
0.500 0.500 0.000
0.000 0.500 0.500
```

Properties
As for the total energy: -0.187 Ha/atom. Its space group is C2/m. Its formation energy from the elements is 0.220 eV per atom. The density of states at the Fermi level comes out at 4.19 states/eV/f.u.

BeCoAu3 | PBE | relaxed

Cell and atoms, written as POSCAR:
```
BeCoAu3
1.0
4.747 0.000 0.000
0.000 4.747 0.000
0.000 0.000 4.747
Co Be Au
1 1 3
Direct
0.000 0.000 0.000
0.500 0.500 0.500
0.000 0.500 0.000
0.000 0.000 0.500
0.500 0.000 0.000
```

Properties
As for the total energy: -0.110 Ha/atom. Its space group is Pm-3m. Its formation energy from the elements is 1.138 eV per atom. The calculation puts the offset from the most stable computed form at 0.656 eV per atom. The density of states at the Fermi level comes out at 5.92 states/eV/f.u.

BeCo2Au | PBE | relaxed

Cell and atoms, written as POSCAR:
```
BeCo2Au
1.0
-3.270 -2.451 -1.329
-2.273 -3.509 0.994
-3.542 1.649 2.271
Au Co Be
1 2 1
Direct
0.510 0.510 0.469
0.739 0.739 0.819
0.993 0.993 0.980
0.258 0.258 0.232
```

Properties
As for the total energy: -0.191 Ha/atom. Its space group is Cm. Its formation energy from the elements is 0.106 eV per atom. The density of states at the Fermi level comes out at 4.16 states/eV/f.u.

BeCo2Au | PBE | relaxed

Cell and atoms, written as POSCAR:
```
BeCo2Au
1.0
4.668 0.000 0.000
2.037 4.200 0.000
-3.352 -2.100 2.478
Au Co Be
1 2 1
Direct
0.250 0.750 0.500
0.500 0.500 0.000
0.000 0.000 0.000
0.750 0.250 0.500
```

Properties
As for the total energy: -0.191 Ha/atom. Its space group is I4/mmm. Its formation energy from the elements is 0.110 eV per atom. The density of states at the Fermi level comes out at 4.89 states/eV/f.u.

BeCo2Au | PBE | relaxed

Cell and atoms, written as POSCAR:
```
BeCo2Au
1.0
2.705 0.003 0.000
-0.002 2.705 0.000
0.000 0.000 6.415
Co Be Au
2 1 1
Direct
0.000 0.000 0.941
0.000 0.000 0.559
0.500 0.500 0.750
0.500 0.500 0.250
```

Properties
As for the total energy: -0.193 Ha/atom. Its space group is P4/mmm. Its formation energy from the elements is 0.055 eV per atom. The density of states at the Fermi level comes out at 4.35 states/eV/f.u.

BeCo2Au | PBE | relaxed

Cell and atoms, written as POSCAR:
```
BeCo2Au
1.0
-4.034 -0.408 -0.569
-1.414 -1.922 -3.327
-1.755 -3.682 0.355
Be Co Au
1 2 1
Direct
0.750 0.750 0.750
0.250 0.250 0.250
0.000 0.000 0.000
0.500 0.500 0.500
```

Properties
As for the total energy: -0.190 Ha/atom. Its space group is F-43m. Its formation energy from the elements is 0.133 eV per atom. The density of states at the Fermi level comes out at 4.35 states/eV/f.u.

BeCo2Au | PBE | relaxed

Cell and atoms, written as POSCAR:
```
BeCo2Au
1.0
2.766 0.000 0.000
0.000 2.742 -0.006
0.000 2.747 6.271
Co Au Be
2 1 1
Direct
0.000 0.019 0.981
0.500 0.295 0.206
0.000 0.472 0.527
0.500 0.713 0.786
```

Properties
As for the total energy: -0.195 Ha/atom. Its space group is Pm. Its formation energy from the elements is -0.010 eV per atom. The density of states at the Fermi level comes out at 3.25 states/eV/f.u.

BeInCo2Au | PBE | relaxed

Cell and atoms, written as POSCAR:
```
BeInCo2Au
1.0
4.785 0.000 0.000
0.000 4.263 0.000
0.000 0.000 4.785
Be Co In Au
1 2 1 1
Direct
0.000 0.500 0.000
0.500 0.000 0.000
0.000 0.000 0.500
0.500 0.500 0.500
0.000 0.000 0.000
```

Properties
As for the total energy: -0.141 Ha/atom. Its space group is P4/mmm. Its formation energy from the elements is 0.963 eV per atom. The density of states at the Fermi level comes out at 7.93 states/eV/f.u.

Be2CoIrAu | PBE | relaxed

Cell and atoms, written as POSCAR:
```
Be2CoIrAu
1.0
-3.285 -0.229 2.508
0.827 -4.510 0.672
2.408 0.924 3.238
Be Co Au Ir
2 1 1 1
Direct
0.000 0.000 0.500
0.500 0.000 0.000
0.000 0.500 0.000
0.000 0.000 0.000
0.500 0.500 0.500
```

Properties
As for the total energy: -0.153 Ha/atom. Its space group is P4/mmm. Its formation energy from the elements is 1.174 eV per atom. The density of states at the Fermi level comes out at 6.62 states/eV/f.u.

BeCoNi2Au | PBE | relaxed

Cell and atoms, written as POSCAR:
```
BeCoNi2Au
1.0
3.929 0.000 0.000
0.000 4.236 0.000
0.000 0.000 3.929
Ni Be Au Co
2 1 1 1
Direct
0.500 0.000 0.000
0.000 0.000 0.500
0.000 0.000 0.000
0.000 0.500 0.000
0.500 0.500 0.500
```

Properties
As for the total energy: -0.170 Ha/atom. Its space group is P4/mmm. Its formation energy from the elements is 0.511 eV per atom. The density of states at the Fermi level comes out at 7.36 states/eV/f.u.